First-principles (PBE) data for an optimized crystal structure of SiGeN, as listed in the Alexandria database. Values from VASP.

Quantum ESPRESSO input file:
```
&SYSTEM
  ibrav = 0, nat = 6, ntyp = 3
/
ATOMIC_SPECIES
N 14.01 N.upf
Si 28.09 Si.upf
Ge 72.64 Ge.upf
ATOMIC_POSITIONS angstrom
N -0.037 2.472 3.065
N 1.415 0.919 4.935
Si -0.047 -0.006 5.327
Si -1.498 2.426 4.016
Ge 1.419 0.369 0.319
Ge -0.035 2.429 1.153
CELL_PARAMETERS angstrom
2.923 0.000 -0.002
-1.429 4.477 0.001
-1.457 -0.793 7.451
```

Mass density   3.91 g/cm3
N(E_F)   0.40 states/eV/f.u.
E   -0.235 hartree per atom
Energy relative to the lowest polymorph listed for this composition   174.8 meV per atom


First-principles (PBE) data for an optimized crystal structure of Li2AsW, as listed in the Alexandria database. Values from VASP.

Quantum ESPRESSO input file:
```
&SYSTEM
  ibrav = 0, nat = 4, ntyp = 3
/
ATOMIC_SPECIES
Li 6.94 Li.upf
As 74.92 As.upf
W 183.84 W.upf
ATOMIC_POSITIONS angstrom
Li 0.182 0.027 0.016
Li 13.468 2.021 1.184
As 20.475 3.072 1.800
W 6.825 1.024 0.600
CELL_PARAMETERS angstrom
9.378 -0.014 -0.008
8.961 2.766 -0.008
8.961 1.345 2.417
```

Mass density   7.16 g/cm3
N(E_F)   3.14 states/eV/f.u.
E   -0.189 hartree per atom
Formation energy from the elements   201 meV per atom


Look up the E of the second one.
-0.189 hartree per atom


What is the formula in the second record?
Li2AsW


What is the N(E_F) in the second record?
3.14 states/eV/f.u.


Please write out number 1 again, unchanged.
First-principles (PBE) data for an optimized crystal structure of SiGeN, as listed in the Alexandria database. Values from VASP.

Quantum ESPRESSO input file:
```
&SYSTEM
  ibrav = 0, nat = 6, ntyp = 3
/
ATOMIC_SPECIES
N 14.01 N.upf
Si 28.09 Si.upf
Ge 72.64 Ge.upf
ATOMIC_POSITIONS angstrom
N -0.037 2.472 3.065
N 1.415 0.919 4.935
Si -0.047 -0.006 5.327
Si -1.498 2.426 4.016
Ge 1.419 0.369 0.319
Ge -0.035 2.429 1.153
CELL_PARAMETERS angstrom
2.923 0.000 -0.002
-1.429 4.477 0.001
-1.457 -0.793 7.451
```

Mass density   3.91 g/cm3
N(E_F)   0.40 states/eV/f.u.
E   -0.235 hartree per atom
Energy relative to the lowest polymorph listed for this composition   174.8 meV per atom